Entry 1:
A plane-wave DFT calculation with GGA-PBE was carried out for a relaxed structure of HgPtO3.

extended XYZ file:
```
20
Lattice="5.105 -4.988 0.000 5.105 4.988 0.000 -0.749 0.000 5.528" Properties=species:S:1:pos:R:3 pbc="T T T"
Hg 1.297 0.812 1.400
Hg 0.923 -0.812 4.163
Hg 8.539 0.812 1.364
Hg 8.164 -0.812 4.128
Pt 4.918 2.346 1.382
Pt 4.543 0.807 4.146
Pt 4.918 -0.807 1.382
Pt 4.543 -2.346 4.146
O 3.518 3.648 1.901
O 3.354 2.167 5.056
O 6.318 3.648 0.862
O 3.792 0.753 2.192
O 5.733 2.167 3.235
O 3.418 -0.753 4.955
O 6.043 0.753 0.572
O 3.728 -2.167 2.292
O 5.669 -0.753 3.336
O 3.144 -3.648 4.665
O 6.108 -2.167 0.472
O 5.943 -3.648 3.626
```

Magnetization   0.00 Bohr magnetons per cell
Raw formation energy   -0.329 eV/atom
Crystal system   monoclinic

Entry 2:
A plane-wave DFT calculation with GGA-PBE was carried out for a relaxed structure of HgPtO3.

extended XYZ file:
```
5
Lattice="3.983 0.000 0.000 0.000 3.983 0.000 0.000 0.000 3.983" Properties=species:S:1:pos:R:3 pbc="T T T"
Hg 0.000 0.000 0.000
Pt 1.992 1.992 1.992
O 0.000 1.992 1.992
O 1.992 0.000 1.992
O 1.992 1.992 0.000
```

Magnetization   0.56 Bohr magnetons per cell
Raw formation energy   0.073 eV/atom
Crystal system   cubic

Entry 3:
A plane-wave DFT calculation with GGA-PBE was carried out for a relaxed structure of HgPt2O.

extended XYZ file:
```
8
Lattice="6.946 -1.416 0.000 6.946 1.416 0.000 -2.040 0.000 7.194" Properties=species:S:1:pos:R:3 pbc="T T T"
Hg 0.000 0.000 0.000
Hg 7.843 0.000 2.385
Pt 3.023 0.000 5.436
Pt 7.675 0.000 5.101
Pt 11.022 0.000 0.346
Pt 11.637 0.000 3.590
O -0.788 0.000 5.014
O 10.316 0.000 2.163
```

Magnetization   0.00 Bohr magnetons per cell
Raw formation energy   0.027 eV/atom
Crystal system   monoclinic

Entry 4:
A plane-wave DFT calculation with GGA-PBE was carried out for a relaxed structure of HgPt2O.

extended XYZ file:
```
8
Lattice="5.125 0.000 0.000 -0.156 5.142 0.000 -0.466 -1.789 5.561" Properties=species:S:1:pos:R:3 pbc="T T T"
Hg 1.050 1.876 0.598
Hg 3.453 1.476 4.964
Pt 0.471 2.606 3.232
Pt 1.215 0.078 3.559
Pt 3.289 3.275 2.003
Pt 4.032 0.747 2.329
O 2.347 -0.144 1.638
O 2.157 3.497 3.923
```

Magnetization   0.00 Bohr magnetons per cell
Raw formation energy   0.035 eV/atom
Crystal system   triclinic